Sr2Li2Ni15 | PBE | optimized geometry

abc: 8.4894 8.4894 12.0334
angles: 90.00 90.00 120.00
Space group R-3m (No. 166, hexagonal axes)
Inequivalent atoms, fractional coordinates:
Sr: 0.0000 0.0000 0.1560 [6 per cell]
Li: 0.0000 0.0000 0.4042 [6 per cell]
Ni: 0.0000 0.2923 0.5000 [18 per cell]
Ni: 0.0000 0.5000 0.0000 [9 per cell]
Ni: 0.0046 0.5023 0.3433 [18 per cell]

Volume (Å³ per atom): 13.176
Total magnetization (Bohr magnetons per cell): 17.727
VASP energy (eV per cell): -275.18

***

U8CoSe17 | PBE | optimized geometry

abc: 13.809 8.700 10.787
angles: 90.00 101.81 90.00
Space group C2/m (No. 12)
Inequivalent atoms, fractional coordinates:
U: 0.062 0.241 0.203 [8 per cell]
U: 0.180 0.500 0.514 [4 per cell]
U: 0.201 0.000 0.955 [4 per cell]
Co: 0.000 0.000 0.500 [2 per cell]
Se: 0.000 0.000 0.000 [2 per cell]
Se: 0.021 0.500 0.670 [4 per cell]
Se: 0.053 0.000 0.722 [4 per cell]
Se: 0.127 0.309 0.963 [8 per cell]
Se: 0.133 0.186 0.475 [8 per cell]
Se: 0.202 0.500 0.256 [4 per cell]
Se: 0.216 0.000 0.223 [4 per cell]

Volume (Å³ per atom): 24.395
Total magnetization (Bohr magnetons per cell): 33.966
VASP energy (eV per cell): -369.80

***

KNpU | PBE | optimized geometry

abc: 7.292 7.292 7.292
angles: 90.00 90.00 90.00
Space group F-43m (No. 216)
Inequivalent atoms, fractional coordinates:
K: 0.000 0.000 0.000 [4 per cell]
Np: 0.000 0.000 0.500 [4 per cell]
U: 0.250 0.250 0.250 [4 per cell]

Volume (Å³ per atom): 32.311
Total magnetization (Bohr magnetons per cell): 35.694
Offset from the most stable computed form (meV/atom): 0

***

MgAlBPt | PBE | optimized geometry

abc: 6.049 6.049 6.049
angles: 90.00 90.00 90.00
Space group F-43m (No. 216)
Inequivalent atoms, fractional coordinates:
Mg: 0.000 0.000 0.000 [4 per cell]
Al: 0.000 0.000 0.500 [4 per cell]
B: 0.250 0.250 0.750 [4 per cell]
Pt: 0.250 0.250 0.250 [4 per cell]

Volume (Å³ per atom): 13.831
Total magnetization (Bohr magnetons per cell): 0.002
Offset from the most stable computed form (meV/atom): 0

***

NdTlW | PBE | optimized geometry

abc: 6.942 6.942 6.942
angles: 90.00 90.00 90.00
Space group F-43m (No. 216)
Inequivalent atoms, fractional coordinates:
Nd: 0.000 0.000 0.000 [4 per cell]
Tl: 0.000 0.000 0.500 [4 per cell]
W: 0.250 0.250 0.250 [4 per cell]

Volume (Å³ per atom): 27.873
Total magnetization (Bohr magnetons per cell): 9.194
Offset from the most stable computed form (meV/atom): 0

***

ZrTa2Pt | PBE | optimized geometry

abc: 6.612 6.612 6.612
angles: 90.00 90.00 90.00
Space group F-43m (No. 216)
Inequivalent atoms, fractional coordinates:
Zr: 0.000 0.000 0.000 [4 per cell]
Ta: 0.000 0.000 0.500 [4 per cell]
Ta: 0.250 0.250 0.750 [4 per cell]
Pt: 0.250 0.250 0.250 [4 per cell]

Volume (Å³ per atom): 18.065
Total magnetization (Bohr magnetons per cell): 0.004
E_form (eV per formula unit): -1.3

***

TlAgBi2 | PBE | optimized geometry

abc: 7.663 7.663 7.663
angles: 90.00 90.00 90.00
Space group F-43m (No. 216)
Inequivalent atoms, fractional coordinates:
Tl: 0.000 0.000 0.000 [4 per cell]
Ag: 0.250 0.250 0.250 [4 per cell]
Bi: 0.000 0.000 0.500 [4 per cell]
Bi: 0.250 0.250 0.750 [4 per cell]

Volume (Å³ per atom): 28.119
VASP energy (eV per cell): -50.66

***

SmMoAu4 | PBE | optimized geometry

abc: 4.9555 4.9555 17.2836
angles: 90.00 90.00 120.00
Space group R-3m (No. 166, hexagonal axes)
Inequivalent atoms, fractional coordinates:
Sm: 0.0000 0.0000 0.0000 [3 per cell]
Mo: 0.0000 0.0000 0.5000 [3 per cell]
Au: 0.0000 0.0000 0.1779 [6 per cell]
Au: 0.0000 0.0000 0.3472 [6 per cell]

Volume (Å³ per atom): 20.421
Total magnetization (Bohr magnetons per cell): 2.723
E_form (eV per formula unit): -0.3

***

NaLi2TcH6 | PBE | optimized geometry

abc: 7.394 7.394 7.394
angles: 90.00 90.00 90.00
Space group Fm-3m (No. 225)
Inequivalent atoms, fractional coordinates:
Na: 0.000 0.000 0.000 [4 per cell]
Li: 0.250 0.250 0.250 [8 per cell]
Tc: 0.000 0.000 0.500 [4 per cell]
H: 0.000 0.000 0.266 [24 per cell]

Volume (Å³ per atom): 10.104
Total magnetization (Bohr magnetons per cell): 8.004
VASP energy (eV per cell): -142.49

***

BeZnCoMo | PBE | optimized geometry

abc: 5.791 5.791 5.791
angles: 90.00 90.00 90.00
Space group F-43m (No. 216)
Inequivalent atoms, fractional coordinates:
Be: 0.000 0.000 0.000 [4 per cell]
Zn: 0.000 0.000 0.500 [4 per cell]
Co: 0.250 0.250 0.750 [4 per cell]
Mo: 0.250 0.250 0.250 [4 per cell]

Volume (Å³ per atom): 12.140
Total magnetization (Bohr magnetons per cell): 6.989
Offset from the most stable computed form (meV/atom): 190

***

Li4GePd2Au | PBE | optimized geometry

abc: 4.406 4.406 6.052
angles: 90.00 90.00 90.00
Space group P-4m2 (No. 115)
Inequivalent atoms, fractional coordinates:
Li: 0.000 0.000 0.000 [1 per cell]
Li: 0.000 0.500 0.245 [2 per cell]
Li: 0.500 0.500 0.500 [1 per cell]
Ge: 0.000 0.000 0.500 [1 per cell]
Pd: 0.000 0.500 0.711 [2 per cell]
Au: 0.500 0.500 0.000 [1 per cell]

Volume (Å³ per atom): 14.685
VASP energy (eV per cell): -30.06

***

DyHfTe | PBE | optimized geometry

abc: 6.893 6.893 6.893
angles: 90.00 90.00 90.00
Space group F-43m (No. 216)
Inequivalent atoms, fractional coordinates:
Dy: 0.000 0.000 0.000 [4 per cell]
Hf: 0.000 0.000 0.500 [4 per cell]
Te: 0.250 0.250 0.250 [4 per cell]

Volume (Å³ per atom): 27.289
Total magnetization (Bohr magnetons per cell): 0.010
VASP energy (eV per cell): -71.73